An optimized crystal structure of K2OsCl4O2, computed with PBE.

a b c (Å): 5.7159 6.5650 6.5650
angles (deg): 66.15 78.81 78.81
With the nearest neighbours (Å) after each atom.
Fractional positions:
O: 0.7426 0.8679 0.8679  1 Os 1.76
Cl: 0.3075 0.1504 0.6636  1 Os 2.41
Cl: 0.3075 0.6636 0.1504  1 Os 2.41
Cl: 0.6925 0.8496 0.3364  1 Os 2.41
O: 0.2574 0.1321 0.1321  1 Os 1.76
K: 0.8017 0.3260 0.3260  1 O 2.96, 2 Cl 3.28
Os: 0.5000 0.0000 0.0000  2 O 1.76
Cl: 0.6925 0.3364 0.8496  1 Os 2.41
K: 0.1983 0.6740 0.6740  1 O 2.96, 2 Cl 3.28

Values from the calculation:
- E_form (uncorrected): -1259.9 meV per atom
- Offset from the most stable computed form: 17.3 meV per atom